1.
PrZnIr: relaxed, PBE.

Results
Volume: 20.797 A^3/atom
Electronic total energy: -66.54 eV per cell
Theoretical density: 10.61 Mg/m³
Magnetic moment: 0.00 μB/f.u.

Cell lengths 7.1807, 4.2161, 8.2433 Å; angles 90.00, 90.00, 90.00 degrees
Space group Pnma (No. 62)
One atom of each set of equivalent atoms:
Pr 0.0297 0.2500 0.1885 x4
Zn 0.1460 0.2500 0.5676 x4
Ir 0.2338 0.7500 0.3856 x4

2.
CaSc2Ag: relaxed, PBE.

Results
Volume: 25.155 A^3/atom
Theoretical density: 3.93 Mg/m³
Energy above the most stable polymorph in this dataset: 178 meV per atom
Magnetic moment: 1.45 μB/f.u.

Cell lengths 4.3591, 4.3591, 10.5907 Å; angles 90.00, 90.00, 90.00 degrees
Space group I4/mmm (No. 139)
One atom of each set of equivalent atoms:
Ca 0.0000 0.0000 0.0000 x2
Sc 0.0000 0.5000 0.2500 x4
Ag 0.0000 0.0000 0.5000 x2

3.
TiPSCl2: relaxed, PBE.

Results
Volume: 21.355 A^3/atom
Theoretical density: 2.83 Mg/m³
Energy above the most stable polymorph in this dataset: 445 meV per atom
Magnetic moment: 2.25 μB/f.u.
Formation energy from raw total energies: 204.8 meV per atom

Cell lengths 4.7012, 4.7012, 4.8313 Å; angles 90.00, 90.00, 90.00 degrees
Space group P4/mmm (No. 123)
One atom of each set of equivalent atoms:
Ti 0.0000 0.0000 0.0000 x1
P 0.5000 0.5000 0.5000 x1
S 0.5000 0.5000 0.0000 x1
Cl 0.0000 0.5000 0.5000 x2